Here is a geometry-optimized PmGdNO structure from OQMD via LeMat-Bulk. Energies are from PBE-GGA.

Summary:
calculated volume: 281 Å³/cell
E above lowest polymorph: 0.09 eV per formula unit
density: 7.85 g/cm³
total DFT energy (no corrections): -7.790 eV/atom

Unit cell a=8.2174 b=6.7684 c=5.0524 alpha=90.00 beta=90.00 gamma=90.00
Space group Pbcm (No. 57)
Unique sites:
Pm: 0.1239 0.0703 0.2500 [4 per cell]
Gd: 0.3753 0.5833 0.2500 [4 per cell]
N: 0.3786 0.5750 0.7500 [4 per cell]
O: 0.1364 0.0895 0.7500 [4 per cell]

***

Here is a geometry-optimized BaTcPd2 structure from OQMD via LeMat-Bulk. Energies are from PBE-GGA.

Summary:
calculated volume: 323 Å³/cell
density: 9.22 g/cm³
total DFT energy (no corrections): -5.114 eV/atom

Unit cell a=6.8611 b=6.8611 c=6.8611 alpha=90.00 beta=90.00 gamma=90.00
Space group F-43m (No. 216)
Unique sites:
Ba: 0.0000 0.0000 0.0000 [4 per cell]
Tc: 0.2500 0.2500 0.7500 [4 per cell]
Pd: 0.0000 0.0000 0.5000 [4 per cell]
Pd: 0.2500 0.2500 0.2500 [4 per cell]

***

Among the records above, which one has the highest calculated volume?
BaTcPd2

***

Which of these has the highest total DFT energy (no corrections)?
BaTcPd2

***

total DFT energy (no corrections) of number 1 (PmGdNO)?
-7.790 eV/atom

***

The highest density belongs to which entry?
BaTcPd2